# 1
VASP calculation (GGA-PBEsol) on an optimized crystal structure of YNiW.

POSCAR file:
```
YNiW
1.0
-4.354 -0.421 -0.791
-1.402 -1.861 -3.785
-1.893 -4.021 0.068
W Ni Y
1 1 1
Direct
0.500 0.500 0.500 W
0.000 0.000 0.000 Ni
0.750 0.750 0.750 Y
```

## Properties
The density of states at the Fermi level comes out at 2.88 states/eV/f.u. The value obtained for the total energy is -7.195 eV/atom. For the total magnetization, the calculation gives 0.89 μB per atom. The calculation puts the formation energy at 1.7339 eV per atom. As for the crystal system: cubic.



# 2
VASP calculation (GGA-PBEsol) on an optimized crystal structure of Be5Au.

POSCAR file:
```
Be5Au
1.0
3.634 0.000 0.000
0.000 4.242 0.000
0.000 -2.121 3.674
Be Au
5 1
Direct
0.000 0.667 0.333 Be
0.500 0.000 0.500 Be
0.500 0.500 0.000 Be
0.500 0.500 0.500 Be
0.000 0.333 0.667 Be
0.000 0.000 0.000 Au
```

## Properties
The density of states at the Fermi level comes out at 0.75 states/eV/f.u. The value obtained for the energy above the most stable polymorph in this dataset is 35 kJ/mol of formula units. The value obtained for the total energy is -4.043 eV/atom. For the total magnetization, the calculation gives 0.00 μB per atom. The calculation puts the formation energy at -0.0560 eV per atom. As for the crystal system: hexagonal.



# 3
VASP calculation (GGA-PBEsol) on an optimized crystal structure of Cr2HN.

POSCAR file:
```
Cr2HN
1.0
4.088 0.000 0.000
0.000 4.088 0.000
-2.044 -2.044 4.091
N H Cr
2 2 4
Direct
0.000 0.000 0.000 N
0.250 0.750 0.500 N
0.500 0.500 0.000 H
0.750 0.250 0.500 H
0.625 0.605 0.750 Cr
0.125 0.145 0.750 Cr
0.855 0.375 0.250 Cr
0.395 0.875 0.250 Cr
```

## Properties
The density of states at the Fermi level comes out at 3.22 states/eV/f.u. The value obtained for the energy above the most stable polymorph in this dataset is 0 kJ/mol of formula units. The value obtained for the total energy is -8.169 eV/atom. For the total magnetization, the calculation gives 0.00 μB per atom. As for the crystal system: tetragonal.



# 4
VASP calculation (GGA-PBEsol) on an optimized crystal structure of TaCdSn3.

POSCAR file:
```
TaCdSn3
1.0
5.253 0.000 0.000
0.000 5.253 0.000
0.000 0.000 5.253
Sn Ta Cd
3 1 1
Direct
0.000 0.000 0.500 Sn
0.000 0.500 0.000 Sn
0.500 0.000 0.000 Sn
0.500 0.500 0.500 Ta
0.000 0.000 0.000 Cd
```

## Properties
The density of states at the Fermi level comes out at 6.95 states/eV/f.u. The value obtained for the total energy is -3.862 eV/atom. For the total magnetization, the calculation gives 0.47 μB per atom. The calculation puts the formation energy at 1.4432 eV per atom. As for the crystal system: cubic.



# 5
VASP calculation (GGA-PBEsol) on an optimized crystal structure of MnCuRu2.

POSCAR file:
```
MnCuRu2
1.0
-0.579 -3.159 2.598
2.534 -0.516 3.222
-1.365 0.703 3.835
Ru Cu Mn
2 1 1
Direct
0.250 0.250 0.250 Ru
0.750 0.750 0.750 Ru
0.000 0.000 0.000 Cu
0.500 0.500 0.500 Mn
```

## Properties
The density of states at the Fermi level comes out at 5.39 states/eV/f.u. The value obtained for the total energy is -8.326 eV/atom. For the total magnetization, the calculation gives 0.58 μB per atom. The calculation puts the formation energy at 0.2837 eV per atom. As for the crystal system: cubic.



# 6
VASP calculation (GGA-PBEsol) on an optimized crystal structure of Be4NiPt.

POSCAR file:
```
Be4NiPt
1.0
-2.599 -0.921 3.242
-3.468 -2.375 -0.662
-0.181 -3.971 1.520
Be Pt Ni
4 1 1
Direct
0.127 0.624 0.624 Be
0.624 0.127 0.624 Be
0.624 0.624 0.127 Be
0.624 0.624 0.624 Be
0.000 0.000 0.000 Pt
0.250 0.250 0.250 Ni
```

## Properties
The density of states at the Fermi level comes out at 3.69 states/eV/f.u. The value obtained for the total energy is -5.310 eV/atom. For the total magnetization, the calculation gives 0.00 μB per atom. The calculation puts the formation energy at -0.4563 eV per atom. As for the crystal system: cubic.



# 7
VASP calculation (GGA-PBEsol) on an optimized crystal structure of TcRu.

POSCAR file:
```
TcRu
1.0
2.705 0.000 0.000
0.000 4.279 0.000
0.000 0.000 4.692
Tc Ru
2 2
Direct
0.500 0.000 0.087 Tc
0.000 0.500 0.913 Tc
0.500 0.500 0.418 Ru
0.000 0.000 0.582 Ru
```

## Properties
The density of states at the Fermi level comes out at 1.87 states/eV/f.u. The value obtained for the energy above the most stable polymorph in this dataset is 4 kJ/mol of formula units. The value obtained for the total energy is -10.772 eV/atom. For the total magnetization, the calculation gives 0.00 μB per atom. The calculation puts the formation energy at -0.0523 eV per atom. As for the crystal system: orthorhombic.



# 8
VASP calculation (GGA-PBEsol) on an optimized crystal structure of Li9Mn2Co5O16.

POSCAR file:
```
Li9Mn2Co5O16
1.0
-2.724 4.288 -2.369
-5.604 -0.005 -0.135
-1.571 5.112 7.799
Li O Mn Co
9 16 2 5
Direct
0.129 0.125 0.240 Li
0.619 0.624 0.234 Li
0.875 0.871 0.760 Li
0.376 0.381 0.766 Li
0.139 0.615 0.240 Li
0.385 0.861 0.760 Li
0.862 0.388 0.763 Li
0.500 0.500 0.000 Li
0.612 0.138 0.237 Li
0.435 0.435 0.390 O
0.172 0.696 0.885 O
0.828 0.303 0.115 O
0.306 0.306 0.112 O
0.934 0.934 0.392 O
0.304 0.828 0.115 O
0.934 0.436 0.391 O
0.066 0.565 0.606 O
0.694 0.694 0.888 O
0.697 0.172 0.885 O
0.814 0.814 0.109 O
0.435 0.934 0.394 O
0.565 0.565 0.610 O
0.564 0.066 0.609 O
0.186 0.186 0.891 O
0.066 0.066 0.608 O
0.750 0.250 0.500 Mn
0.000 0.000 0.000 Mn
0.500 0.000 0.000 Co
0.250 0.250 0.500 Co
0.000 0.500 0.000 Co
0.750 0.750 0.500 Co
0.250 0.750 0.500 Co
```

## Properties
The density of states at the Fermi level comes out at 5.41 states/eV/f.u. Its raw formation energy is -1.67 eV per atom. The value obtained for the energy above the most stable polymorph in this dataset is 68 kJ/mol of formula units. The value obtained for the total energy is -6.663 eV/atom. For the total magnetization, the calculation gives 0.19 μB per atom. As for the crystal system: monoclinic.